Material: TlCd2Cl
Method: DFT, PBE
State: relaxed

Unit cell a=5.751 b=5.751 c=5.751 alpha=129.16 beta=129.16 gamma=74.76
Atoms (fractional coordinates):
Tl 0.750 0.250 0.500
Cl 0.500 0.500 0.000
Cd 0.000 0.000 0.000
Cd 0.250 0.750 0.500

Computed properties:
formation energy without anion corrections	-246	meV/atom
mass density	6.92	Mg/m³
energy relative to the lowest polymorph listed for this composition	78	meV per atom